An optimized crystal structure of YCu2Pt5. Source: Alexandria, functional GGA-PBE.

Results
Total magnetization in Bohr magnetons per cell: 0.000
DFT formation energy in eV/atom: -0.36

```
YCu2Pt5
1.0
-1.870 3.761 4.790
1.870 -3.761 4.790
1.870 3.761 -4.790
Y Cu Pt
1 2 5
direct
0.000 0.000 0.000
0.234 0.734 0.500
0.766 0.266 0.500
0.161 0.354 0.807
0.453 0.646 0.807
0.500 0.000 0.500
0.547 0.354 0.193
0.839 0.646 0.193
```

An optimized crystal structure of Y3CuPt8. Source: Alexandria, functional GGA-PBE.

Results
Total magnetization in Bohr magnetons per cell: 0.000
DFT formation energy in eV/atom: -0.90

```
Y3CuPt8
1.0
2.704 1.561 8.805
-2.704 1.561 8.805
0.000 -3.123 8.805
Y Cu Pt
3 1 8
direct
0.000 0.000 0.000
0.130 0.130 0.130
0.609 0.609 0.609
0.484 0.484 0.484
0.059 0.059 0.563
0.059 0.563 0.059
0.061 0.560 0.560
0.311 0.311 0.311
0.560 0.061 0.560
0.560 0.560 0.061
0.563 0.059 0.059
0.811 0.811 0.811
```

An optimized crystal structure of YCuPt3. Source: Alexandria, functional GGA-PBE.

Results
Total magnetization in Bohr magnetons per cell: 0.000
DFT formation energy in eV/atom: -0.57
E above lowest polymorph in kcal/mol of atoms: 0.00

```
YCuPt3
1.0
4.478 0.000 0.000
0.000 6.439 0.000
0.000 0.000 6.155
Y Cu Pt
2 2 6
direct
0.250 0.250 0.237
0.750 0.750 0.763
0.250 0.750 0.448
0.750 0.250 0.552
0.250 0.049 0.723
0.250 0.451 0.723
0.250 0.750 0.050
0.750 0.250 0.950
0.750 0.549 0.277
0.750 0.951 0.277
```

An optimized crystal structure of Y2CuPt. Source: Alexandria, functional GGA-PBE.

Results
Total magnetization in Bohr magnetons per cell: 0.000
DFT formation energy in eV/atom: -0.56

```
Y2CuPt
1.0
-1.797 2.270 5.321
1.797 -2.270 5.321
1.797 2.270 -5.321
Y Cu Pt
2 1 1
direct
0.000 0.000 0.000
0.721 0.221 0.500
0.286 0.786 0.500
0.476 0.476 0.000
```

An optimized crystal structure of YCu2Pt. Source: Alexandria, functional GGA-PBE.

Results
Total magnetization in Bohr magnetons per cell: 0.000
DFT formation energy in eV/atom: -0.40
E above lowest polymorph in kcal/mol of atoms: 2.63

```
YCu2Pt
1.0
3.414 0.000 0.000
0.000 3.414 0.000
0.000 0.000 5.960
Y Cu Pt
1 2 1
direct
0.000 0.000 0.000
0.000 0.000 0.492
0.500 0.500 0.310
0.500 0.500 0.735
```

An optimized crystal structure of YCu2Pt. Source: Alexandria, functional GGA-PBE.

Results
Total magnetization in Bohr magnetons per cell: 0.000
DFT formation energy in eV/atom: -0.44
E above lowest polymorph in kcal/mol of atoms: 1.76

```
YCu2Pt
1.0
0.000 3.219 3.219
3.219 0.000 3.219
3.219 3.219 0.000
Y Cu Pt
1 2 1
direct
0.000 0.000 0.000
0.250 0.250 0.250
0.750 0.750 0.750
0.500 0.500 0.500
```

An optimized crystal structure of YCu2Pt. Source: Alexandria, functional GGA-PBE.

Results
Total magnetization in Bohr magnetons per cell: 0.000
DFT formation energy in eV/atom: -0.42
E above lowest polymorph in kcal/mol of atoms: 2.31

```
YCu2Pt
1.0
0.000 3.262 3.262
3.262 0.000 3.262
3.262 3.262 0.000
Y Cu Pt
1 2 1
direct
0.000 0.000 0.000
0.500 0.500 0.500
0.750 0.750 0.750
0.250 0.250 0.250
```

An optimized crystal structure of Y2CuPt. Source: Alexandria, functional GGA-PBE.

Results
Total magnetization in Bohr magnetons per cell: 0.000
DFT formation energy in eV/atom: -0.61

```
Y2CuPt
1.0
3.540 -2.050 0.000
3.540 2.050 0.000
-2.367 0.000 6.675
Y Cu Pt
2 1 1
direct
0.247 0.247 0.240
0.753 0.753 0.760
0.000 0.000 0.500
0.500 0.500 0.000
```

An optimized crystal structure of YCuPt2. Source: Alexandria, functional GGA-PBE.

Results
Total magnetization in Bohr magnetons per cell: 0.000
DFT formation energy in eV/atom: -0.41

```
YCuPt2
1.0
-2.054 2.054 9.087
2.054 -2.054 9.087
2.054 2.054 -9.087
Y Cu Pt
2 2 4
direct
0.000 0.000 0.000
0.750 0.250 0.500
0.250 0.750 0.500
0.500 0.500 0.000
0.163 0.625 0.038
0.375 0.413 0.538
0.587 0.125 0.962
0.875 0.837 0.462
```

An optimized crystal structure of Y4Cu2Pt. Source: Alexandria, functional GGA-PBE.

Results
Total magnetization in Bohr magnetons per cell: 0.000
DFT formation energy in eV/atom: -0.42
E above lowest polymorph in kcal/mol of atoms: 0.00

```
Y4Cu2Pt
1.0
2.454 1.417 8.018
-2.454 1.417 8.018
0.000 -2.834 8.018
Y Cu Pt
4 2 1
direct
0.124 0.124 0.124
0.375 0.375 0.375
0.625 0.625 0.625
0.876 0.876 0.876
0.252 0.252 0.252
0.748 0.748 0.748
0.500 0.500 0.500
```

An optimized crystal structure of YCuPt3. Source: Alexandria, functional GGA-PBE.

Results
Total magnetization in Bohr magnetons per cell: 0.000
DFT formation energy in eV/atom: -0.11
E above lowest polymorph in kcal/mol of atoms: 10.41

```
YCuPt3
1.0
4.626 0.000 0.000
0.000 4.626 0.000
0.000 0.000 4.626
Y Cu Pt
1 1 3
direct
0.000 0.000 0.000
0.500 0.500 0.500
0.000 0.500 0.500
0.500 0.000 0.500
0.500 0.500 0.000
```

An optimized crystal structure of YCuPt. Source: Alexandria, functional GGA-PBE.

Results
Total magnetization in Bohr magnetons per cell: 0.000
DFT formation energy in eV/atom: -0.22
E above lowest polymorph in kcal/mol of atoms: 13.86

```
YCuPt
1.0
0.000 3.254 3.254
3.254 0.000 3.254
3.254 3.254 0.000
Y Cu Pt
1 1 1
direct
0.000 0.000 0.000
0.250 0.250 0.250
0.750 0.750 0.750
```

no.,VASP energy (Ry per atom)
1,-0.439
2,-0.506
3,-0.463
4,-0.465
5,-0.410
6,-0.413
7,-0.411
8,-0.468
9,-0.446
10,-0.452
11,-0.430
12,-0.423